Material: CdRe2Mo
Method: DFT, PBE
State: relaxed

Computed properties:
Formation energy from the elements ... 616 meV/atom
Final energy ... -34.18 eV per formula unit

Lattice parameters (Å, degrees): 4.015 4.015 3.989 90.00 90.00 90.00
Space group P4/mmm (No. 123)
Asymmetric unit:
Cd: 0.000 0.000 0.000 [1 per cell]
Re: 0.000 0.500 0.500 [2 per cell]
Mo: 0.500 0.500 0.000 [1 per cell]